No. 1
! Ho2ZnFe | Alexandria | PBE-GGA | optimized geometry; values from VASP
! Distance to the lowest polymorph of the same formula in meV per atom: 488
! Energy relative to the elements in eV/atom: 0.3718
! V in A^3/atom: 25.973
&SYSTEM
  ibrav = 0, nat = 4, ntyp = 3
/
ATOMIC_SPECIES
Zn 65.41 Zn.upf
Ho 164.93 Ho.upf
Fe 55.84 Fe.upf
CELL_PARAMETERS angstrom
3.5245 0.0000 0.0000
1.7622 3.0523 0.0000
1.7622 1.0174 9.6575
ATOMIC_POSITIONS crystal
Zn 0.0000 0.0000 0.0000
Ho 0.1070 0.1070 0.6791
Ho 0.8930 0.8930 0.3209
Fe 0.5000 0.5000 0.5000



No. 2
! Ho2ZnFe | Alexandria | PBE-GGA | optimized geometry; values from VASP
! Distance to the lowest polymorph of the same formula in meV per atom: 0
! Energy relative to the elements in eV/atom: -0.1161
! V in A^3/atom: 20.316
&SYSTEM
  ibrav = 0, nat = 4, ntyp = 3
/
ATOMIC_SPECIES
Zn 65.41 Zn.upf
Ho 164.93 Ho.upf
Fe 55.84 Fe.upf
CELL_PARAMETERS angstrom
-0.5735 -3.3207 -0.0540
2.0105 -0.3035 -2.6878
5.6113 -1.0393 4.3146
ATOMIC_POSITIONS crystal
Zn 0.5000 0.5000 0.5000
Ho 0.0000 0.0000 0.7757
Ho 0.0000 0.0000 0.2243
Fe 0.5000 0.5000 0.0000



No. 3
! Ho6ZnFe2 | Alexandria | PBE-GGA | optimized geometry; values from VASP
! Energy relative to the elements in eV/atom: -0.1023
! V in A^3/atom: 24.089
&SYSTEM
  ibrav = 0, nat = 18, ntyp = 3
/
ATOMIC_SPECIES
Ho 164.93 Ho.upf
Zn 65.41 Zn.upf
Fe 55.84 Fe.upf
CELL_PARAMETERS angstrom
0.2774 0.0640 -8.2587
1.2184 -7.6226 2.9494
-7.4231 2.4242 2.7031
ATOMIC_POSITIONS crystal
Ho 0.5306 0.7156 0.8150
Ho 0.4694 0.2844 0.1850
Ho 0.0994 0.2844 0.8150
Ho 0.9006 0.7156 0.1850
Ho 0.7960 0.7704 0.5664
Ho 0.2040 0.2296 0.4336
Ho 0.2040 0.7704 0.9744
Ho 0.7960 0.2296 0.0256
Ho 0.7031 0.3883 0.6852
Ho 0.2969 0.6117 0.3148
Ho 0.2969 0.9822 0.6852
Ho 0.7031 0.0178 0.3148
Zn 0.0000 0.5000 0.5000
Zn 0.0000 0.0000 0.0000
Fe 0.5000 0.3902 0.8902
Fe 0.5000 0.6098 0.1098
Fe 0.6190 0.0000 0.6190
Fe 0.3810 0.0000 0.3810



No. 4
! HoZn6Fe6 | Alexandria | PBE-GGA | optimized geometry; values from VASP
! Energy relative to the elements in eV/atom: -0.0603
! V in A^3/atom: 14.079
&SYSTEM
  ibrav = 0, nat = 13, ntyp = 3
/
ATOMIC_SPECIES
Ho 164.93 Ho.upf
Zn 65.41 Zn.upf
Fe 55.84 Fe.upf
CELL_PARAMETERS angstrom
4.5784 0.0000 1.8300
2.2744 6.0927 0.9521
0.0282 -0.1059 6.5718
ATOMIC_POSITIONS crystal
Ho 0.0000 0.0000 0.0000
Zn 0.3497 0.6503 0.6503
Zn 0.6503 0.3497 0.3497
Zn 0.0000 0.3399 0.6601
Zn 0.0000 0.6601 0.3399
Zn 0.2953 0.2047 0.2047
Zn 0.7047 0.7953 0.7953
Fe 0.0000 0.5000 0.0000
Fe 0.5000 0.5000 0.0000
Fe 0.0000 0.0000 0.5000
Fe 0.5000 0.0000 0.5000
Fe 0.5000 0.7723 0.2277
Fe 0.5000 0.2277 0.7723



No. 5
! Ho2ZnFe | Alexandria | PBE-GGA | optimized geometry; values from VASP
! Distance to the lowest polymorph of the same formula in meV per atom: 29
! Energy relative to the elements in eV/atom: -0.0869
! V in A^3/atom: 20.457
&SYSTEM
  ibrav = 0, nat = 4, ntyp = 3
/
ATOMIC_SPECIES
Zn 65.41 Zn.upf
Ho 164.93 Ho.upf
Fe 55.84 Fe.upf
CELL_PARAMETERS angstrom
4.8731 0.0000 0.0000
2.4365 4.2202 0.0000
2.4365 1.4067 3.9788
ATOMIC_POSITIONS crystal
Zn 0.5000 0.5000 0.5000
Ho 0.2500 0.2500 0.2500
Ho 0.7500 0.7500 0.7500
Fe 0.0000 0.0000 0.0000



No. 6
! Ho4ZnFe | Alexandria | PBE-GGA | optimized geometry; values from VASP
! Energy relative to the elements in eV/atom: -0.1189
! V in A^3/atom: 24.794
&SYSTEM
  ibrav = 0, nat = 12, ntyp = 3
/
ATOMIC_SPECIES
Ho 164.93 Ho.upf
Zn 65.41 Zn.upf
Fe 55.84 Fe.upf
CELL_PARAMETERS angstrom
-0.2693 3.2885 -5.0673
1.1433 -6.6350 -3.0684
-7.0249 0.7905 2.1845
ATOMIC_POSITIONS crystal
Ho 0.9088 0.6296 0.7911
Ho 0.0375 0.9378 0.2710
Ho 0.5912 0.2089 0.3704
Ho 0.4625 0.7290 0.0622
Ho 0.5375 0.2710 0.9378
Ho 0.4088 0.7911 0.6296
Ho 0.9625 0.0622 0.7290
Ho 0.0912 0.3704 0.2089
Zn 0.7500 0.6285 0.3715
Zn 0.2500 0.3715 0.6285
Fe 0.2500 0.9976 0.0024
Fe 0.7500 0.0024 0.9976



No. 7
! Ho3ZnFe8 | Alexandria | PBE-GGA | optimized geometry; values from VASP
! Energy relative to the elements in eV/atom: -0.0696
! V in A^3/atom: 15.070
&SYSTEM
  ibrav = 0, nat = 12, ntyp = 3
/
ATOMIC_SPECIES
Ho 164.93 Ho.upf
Zn 65.41 Zn.upf
Fe 55.84 Fe.upf
CELL_PARAMETERS angstrom
4.8229 0.0000 1.4559
2.1917 4.2961 1.4559
-0.0032 -0.0019 8.7267
ATOMIC_POSITIONS crystal
Ho 0.3760 0.3760 0.8721
Ho 0.9953 0.9953 0.0142
Ho 0.5038 0.5038 0.4887
Zn 0.8730 0.8730 0.3811
Fe 0.9374 0.4356 0.1915
Fe 0.4409 0.9386 0.6819
Fe 0.4356 0.4356 0.1915
Fe 0.9386 0.9386 0.6819
Fe 0.1872 0.1872 0.4384
Fe 0.6881 0.6881 0.9356
Fe 0.4356 0.9374 0.1915
Fe 0.9386 0.4409 0.6819



No. 8
! HoZrZnFe | Alexandria | PBE-GGA | optimized geometry; values from VASP
! Energy relative to the elements in eV/atom: -0.0958
! V in A^3/atom: 18.765
&SYSTEM
  ibrav = 0, nat = 4, ntyp = 4
/
ATOMIC_SPECIES
Zn 65.41 Zn.upf
Ho 164.93 Ho.upf
Zr 91.22 Zr.upf
Fe 55.84 Fe.upf
CELL_PARAMETERS angstrom
-0.2091 3.1836 -3.4986
-3.8609 0.2700 -2.7276
-2.8976 3.7273 0.3609
ATOMIC_POSITIONS crystal
Zn 0.0000 0.0000 0.0000
Ho 0.7500 0.7500 0.7500
Zr 0.2500 0.2500 0.2500
Fe 0.5000 0.5000 0.5000



No. 9
! HoZrFe | Alexandria | PBE-GGA | optimized geometry; values from VASP
! Distance to the lowest polymorph of the same formula in meV per atom: 0
! Energy relative to the elements in eV/atom: -0.0075
! V in A^3/atom: 20.828
&SYSTEM
  ibrav = 0, nat = 12, ntyp = 3
/
ATOMIC_SPECIES
Ho 164.93 Ho.upf
Zr 91.22 Zr.upf
Fe 55.84 Fe.upf
CELL_PARAMETERS angstrom
-0.7709 1.1900 -4.5452
5.6750 -3.2449 -1.8122
-4.0501 -6.5144 -1.0186
ATOMIC_POSITIONS crystal
Ho 0.2500 0.8214 0.4600
Ho 0.7500 0.3214 0.0400
Ho 0.2500 0.6786 0.9600
Ho 0.7500 0.1786 0.5400
Zr 0.7500 0.8729 0.1783
Zr 0.7500 0.6271 0.6783
Zr 0.2500 0.1271 0.8217
Zr 0.2500 0.3729 0.3217
Fe 0.7500 0.5477 0.3545
Fe 0.7500 0.9523 0.8545
Fe 0.2500 0.0477 0.1455
Fe 0.2500 0.4523 0.6455



No. 10
! Ho2ZrFe | Alexandria | PBE-GGA | optimized geometry; values from VASP
! Energy relative to the elements in eV/atom: 0.4346
! V in A^3/atom: 23.851
&SYSTEM
  ibrav = 0, nat = 4, ntyp = 3
/
ATOMIC_SPECIES
Ho 164.93 Ho.upf
Zr 91.22 Zr.upf
Fe 55.84 Fe.upf
CELL_PARAMETERS angstrom
-1.0185 2.7673 -1.4012
-2.6582 -0.0122 -1.8954
-7.1177 2.9272 7.1514
ATOMIC_POSITIONS crystal
Ho 0.1030 0.1030 0.6911
Ho 0.8970 0.8970 0.3089
Zr 0.0000 0.0000 0.0000
Fe 0.5000 0.5000 0.5000



No. 11
! HoZrFe4 | Alexandria | PBE-GGA | optimized geometry; values from VASP
! Energy relative to the elements in eV/atom: -0.1924
! V in A^3/atom: 15.166
&SYSTEM
  ibrav = 0, nat = 6, ntyp = 3
/
ATOMIC_SPECIES
Ho 164.93 Ho.upf
Zr 91.22 Zr.upf
Fe 55.84 Fe.upf
CELL_PARAMETERS angstrom
5.0487 0.0000 0.0000
2.5244 4.3723 0.0000
2.5244 1.4574 4.1223
ATOMIC_POSITIONS crystal
Ho 0.0000 0.0000 0.0000
Zr 0.2500 0.2500 0.2500
Fe 0.6249 0.6249 0.1254
Fe 0.6249 0.1254 0.6249
Fe 0.6249 0.6249 0.6249
Fe 0.1254 0.6249 0.6249



No. 12
! HoZrFe | Alexandria | PBE-GGA | optimized geometry; values from VASP
! Distance to the lowest polymorph of the same formula in meV per atom: 34
! Energy relative to the elements in eV/atom: 0.0260
! V in A^3/atom: 21.178
&SYSTEM
  ibrav = 0, nat = 3, ntyp = 3
/
ATOMIC_SPECIES
Ho 164.93 Ho.upf
Zr 91.22 Zr.upf
Fe 55.84 Fe.upf
CELL_PARAMETERS angstrom
3.2850 0.0000 0.0000
0.0000 3.2850 0.0000
-1.6425 -1.6425 5.8873
ATOMIC_POSITIONS crystal
Ho 0.3074 0.3074 0.6149
Zr 0.0404 0.0404 0.0809
Fe 0.6521 0.6521 0.3042



No. 13
! FeI | Alexandria | PBE-GGA | optimized geometry; values from VASP
! Distance to the lowest polymorph of the same formula in meV per atom: 296
! Raw formation energy in eV per atom: 0.3101
! V in A^3/atom: 26.154
&SYSTEM
  ibrav = 0, nat = 32, ntyp = 2
/
ATOMIC_SPECIES
Fe 55.84 Fe.upf
I 126.90 I.upf
CELL_PARAMETERS angstrom
-6.8148 -4.0559 3.3230
6.5604 -3.7145 8.9202
-1.9781 6.8539 4.3089
ATOMIC_POSITIONS crystal
Fe 0.0000 0.8995 0.0000
Fe 0.0000 0.1005 0.0000
Fe 0.2500 0.8505 0.2500
Fe 0.2500 0.6495 0.2500
Fe 0.0000 0.3995 0.5000
Fe 0.0000 0.6005 0.5000
Fe 0.2500 0.3505 0.7500
Fe 0.2500 0.1495 0.7500
Fe 0.5000 0.8995 0.5000
Fe 0.5000 0.1005 0.5000
Fe 0.7500 0.8505 0.7500
Fe 0.7500 0.6495 0.7500
Fe 0.5000 0.3995 0.0000
Fe 0.5000 0.6005 0.0000
Fe 0.7500 0.3505 0.2500
Fe 0.7500 0.1495 0.2500
I 0.2757 0.0000 0.0000
I 0.7243 0.0000 0.0000
I 0.9743 0.7500 0.2500
I 0.5257 0.7500 0.2500
I 0.2757 0.5000 0.5000
I 0.7243 0.5000 0.5000
I 0.9743 0.2500 0.7500
I 0.5257 0.2500 0.7500
I 0.7757 0.0000 0.5000
I 0.2243 0.0000 0.5000
I 0.4743 0.7500 0.7500
I 0.0257 0.7500 0.7500
I 0.7757 0.5000 0.0000
I 0.2243 0.5000 0.0000
I 0.4743 0.2500 0.2500
I 0.0257 0.2500 0.2500



No. 14
! FeI | Alexandria | PBE-GGA | optimized geometry; values from VASP
! Distance to the lowest polymorph of the same formula in meV per atom: 277
! Raw formation energy in eV per atom: 0.2916
! V in A^3/atom: 25.952
&SYSTEM
  ibrav = 0, nat = 16, ntyp = 2
/
ATOMIC_SPECIES
Fe 55.84 Fe.upf
I 126.90 I.upf
CELL_PARAMETERS angstrom
5.9044 0.0000 0.0000
0.0000 11.7742 0.0000
0.0000 0.0000 5.9729
ATOMIC_POSITIONS crystal
Fe 0.2491 0.1335 0.9996
Fe 0.7491 0.3665 0.0004
Fe 0.7509 0.6335 0.5004
Fe 0.2509 0.8665 0.4996
Fe 0.5005 0.7500 0.7200
Fe 0.0005 0.7500 0.2800
Fe 0.4995 0.2500 0.7800
Fe 0.9995 0.2500 0.2200
I 0.7496 0.1083 0.0000
I 0.2496 0.3917 0.0000
I 0.2504 0.6083 0.5000
I 0.7504 0.8917 0.5000
I 0.2501 0.8817 0.9998
I 0.7501 0.6183 0.0002
I 0.7499 0.3817 0.5002
I 0.2499 0.1183 0.4998



No. 15
! FeI | Alexandria | PBE-GGA | optimized geometry; values from VASP
! Distance to the lowest polymorph of the same formula in meV per atom: 547
! Raw formation energy in eV per atom: 0.5611
! V in A^3/atom: 27.782
&SYSTEM
  ibrav = 0, nat = 4, ntyp = 2
/
ATOMIC_SPECIES
Fe 55.84 Fe.upf
I 126.90 I.upf
CELL_PARAMETERS angstrom
-4.2355 -0.0463 -0.5188
1.9290 -3.1837 2.0866
-0.7811 3.5015 6.0646
ATOMIC_POSITIONS crystal
Fe 0.3333 0.6667 0.3546
Fe 0.6667 0.3333 0.8546
I 0.3333 0.6667 0.7274
I 0.6667 0.3333 0.2274



No. 16
! FeI | Alexandria | PBE-GGA | optimized geometry; values from VASP
! Distance to the lowest polymorph of the same formula in meV per atom: 346
! Raw formation energy in eV per atom: 0.3601
! V in A^3/atom: 28.408
&SYSTEM
  ibrav = 0, nat = 8, ntyp = 2
/
ATOMIC_SPECIES
Fe 55.84 Fe.upf
I 126.90 I.upf
CELL_PARAMETERS angstrom
-6.4505 1.6223 1.9437
-2.5299 -3.9249 -5.1200
-0.0667 -3.7397 2.8998
ATOMIC_POSITIONS crystal
Fe 0.3892 0.6108 0.0000
Fe 0.8892 0.8892 0.5000
Fe 0.1108 0.1108 0.5000
Fe 0.6108 0.3892 0.0000
I 0.2441 0.2441 0.0000
I 0.7441 0.2559 0.5000
I 0.2559 0.7441 0.5000
I 0.7559 0.7559 0.0000



No. 17
! FeI | Alexandria | PBE-GGA | optimized geometry; values from VASP
! Distance to the lowest polymorph of the same formula in meV per atom: 191
! Raw formation energy in eV per atom: 0.2056
! V in A^3/atom: 34.383
&SYSTEM
  ibrav = 0, nat = 16, ntyp = 2
/
ATOMIC_SPECIES
Fe 55.84 Fe.upf
I 126.90 I.upf
CELL_PARAMETERS angstrom
-3.8179 7.2440 -0.2965
-4.6783 -2.7176 -6.1537
-5.5387 -2.6980 5.4022
ATOMIC_POSITIONS crystal
Fe 0.1042 0.1042 0.1042
Fe 0.1042 0.8958 0.8958
Fe 0.8958 0.1042 0.8958
Fe 0.8958 0.8958 0.1042
Fe 0.6042 0.6042 0.6042
Fe 0.6042 0.3958 0.3958
Fe 0.3958 0.6042 0.3958
Fe 0.3958 0.3958 0.6042
I 0.2986 0.2986 0.2986
I 0.2986 0.7014 0.7014
I 0.7014 0.2986 0.7014
I 0.7014 0.7014 0.2986
I 0.7986 0.7986 0.7986
I 0.7986 0.2014 0.2014
I 0.2014 0.7986 0.2014
I 0.2014 0.2014 0.7986



No. 18
! FeI | Alexandria | PBE-GGA | optimized geometry; values from VASP
! Distance to the lowest polymorph of the same formula in meV per atom: 254
! Raw formation energy in eV per atom: 0.2685
! V in A^3/atom: 30.941
&SYSTEM
  ibrav = 0, nat = 12, ntyp = 2
/
ATOMIC_SPECIES
Fe 55.84 Fe.upf
I 126.90 I.upf
CELL_PARAMETERS angstrom
-5.9754 -6.6826 5.2680
6.0662 -3.4214 -7.7208
2.9486 -0.6005 2.5828
ATOMIC_POSITIONS crystal
Fe 0.5748 0.0203 0.2500
Fe 0.5545 0.5748 0.7500
Fe 0.9797 0.5545 0.2500
Fe 0.4252 0.9797 0.7500
Fe 0.4455 0.4252 0.2500
Fe 0.0203 0.4455 0.7500
I 0.8595 0.2590 0.2500
I 0.6006 0.8595 0.7500
I 0.7410 0.6006 0.2500
I 0.1405 0.7410 0.7500
I 0.3994 0.1405 0.2500
I 0.2590 0.3994 0.7500



No. 19
! Fe4I | Alexandria | PBE-GGA | optimized geometry; values from VASP
! Raw formation energy in eV per atom: 1.7436
! V in A^3/atom: 19.426
&SYSTEM
  ibrav = 0, nat = 5, ntyp = 2
/
ATOMIC_SPECIES
I 126.90 I.upf
Fe 55.84 Fe.upf
CELL_PARAMETERS angstrom
-0.1738 4.2183 1.8181
1.4081 -1.6829 4.0392
4.3723 0.7097 -1.2285
ATOMIC_POSITIONS crystal
I 0.5000 0.5000 0.5000
Fe 0.0000 0.0000 0.0000
Fe 0.5000 0.0000 0.5000
Fe 0.0000 0.5000 0.5000
Fe 0.5000 0.5000 0.0000



No. 20
! Fe2I5 | Alexandria | PBE-GGA | optimized geometry; values from VASP
! Raw formation energy in eV per atom: -0.0614
! V in A^3/atom: 38.825
&SYSTEM
  ibrav = 0, nat = 14, ntyp = 2
/
ATOMIC_SPECIES
Fe 55.84 Fe.upf
I 126.90 I.upf
CELL_PARAMETERS angstrom
0.1772 -4.1879 -7.1972
7.5498 -1.8113 1.2398
-5.1601 -4.1591 7.1122
ATOMIC_POSITIONS crystal
Fe 0.1921 0.6483 0.7132
Fe 0.5211 0.1483 0.7132
Fe 0.8079 0.3517 0.2868
Fe 0.4789 0.8517 0.2868
I 0.4969 0.5243 0.7931
I 0.7038 0.9757 0.2069
I 0.2962 0.0243 0.7931
I 0.5031 0.4757 0.2069
I 0.3228 0.1254 0.3996
I 0.0767 0.6254 0.3996
I 0.6772 0.8746 0.6004
I 0.9233 0.3746 0.6004
I 0.1626 0.7500 0.0000
I 0.8374 0.2500 0.0000



No. 21
! FeI | Alexandria | PBE-GGA | optimized geometry; values from VASP
! Distance to the lowest polymorph of the same formula in meV per atom: 276
! Raw formation energy in eV per atom: 0.2904
! V in A^3/atom: 29.979
&SYSTEM
  ibrav = 0, nat = 16, ntyp = 2
/
ATOMIC_SPECIES
Fe 55.84 Fe.upf
I 126.90 I.upf
CELL_PARAMETERS angstrom
-4.2276 -7.1676 7.2834
-1.2986 -7.4414 -8.0768
3.5948 -1.3984 0.7104
ATOMIC_POSITIONS crystal
Fe 0.3018 0.7886 0.0000
Fe 0.6982 0.2114 0.0000
Fe 0.2114 0.3018 0.0000
Fe 0.7886 0.6982 0.0000
Fe 0.8018 0.2886 0.5000
Fe 0.1982 0.7114 0.5000
Fe 0.7114 0.8018 0.5000
Fe 0.2886 0.1982 0.5000
I 0.4485 0.2381 0.0000
I 0.5515 0.7619 0.0000
I 0.7619 0.4485 0.0000
I 0.2381 0.5515 0.0000
I 0.9485 0.7381 0.5000
I 0.0515 0.2619 0.5000
I 0.2619 0.9485 0.5000
I 0.7381 0.0515 0.5000



No. 22
! FeI | Alexandria | PBE-GGA | optimized geometry; values from VASP
! Distance to the lowest polymorph of the same formula in meV per atom: 534
! Raw formation energy in eV per atom: 0.5485
! V in A^3/atom: 27.684
&SYSTEM
  ibrav = 0, nat = 8, ntyp = 2
/
ATOMIC_SPECIES
Fe 55.84 Fe.upf
I 126.90 I.upf
CELL_PARAMETERS angstrom
6.0502 0.0000 0.0000
0.0000 6.0502 0.0000
0.0000 0.0000 6.0502
ATOMIC_POSITIONS crystal
Fe 0.2500 0.2500 0.2500
Fe 0.2500 0.7500 0.7500
Fe 0.7500 0.2500 0.7500
Fe 0.7500 0.7500 0.2500
I 0.0000 0.0000 0.0000
I 0.0000 0.5000 0.5000
I 0.5000 0.0000 0.5000
I 0.5000 0.5000 0.0000